[1]
A relaxed structure of KIn2FeRh. Source: the Alexandria database, functional PBE.

The structure belongs to space group P4/mmm (No. 123); the cell edges are 4.944, 4.944 and 4.963 Å and the angles 90.00°, 90.00° and 90.00°. The distinct sites, in fractional coordinates, are K at (0.000, 0.000, 0.000), In at (0.000, 0.500, 0.500), Fe at (0.000, 0.000, 0.500) and Rh at (0.500, 0.500, 0.000).

The calculation puts the energy of formation at 1038 meV per atom.



[2]
A relaxed structure of KIn2FeSn. Source: the Alexandria database, functional PBE.

The structure belongs to space group P4/mmm (No. 123); the cell edges are 5.119, 5.119 and 5.004 Å and the angles 90.00°, 90.00° and 90.00°. The distinct sites, in fractional coordinates, are K at (0.000, 0.000, 0.000), In at (0.000, 0.500, 0.500), Fe at (0.500, 0.500, 0.500) and Sn at (0.500, 0.500, 0.000).

The calculation puts the energy of formation at -9 meV per atom.



[3]
A relaxed structure of KInFeSn2. Source: the Alexandria database, functional PBE.

The structure belongs to space group P4/mmm (No. 123); the cell edges are 5.083, 5.083 and 5.167 Å and the angles 90.00°, 90.00° and 90.00°. The distinct sites, in fractional coordinates, are K at (0.000, 0.000, 0.000), In at (0.500, 0.500, 0.000), Fe at (0.500, 0.500, 0.500) and Sn at (0.000, 0.500, 0.500).

The calculation puts the energy of formation at 5 meV per atom.



[4]
A relaxed structure of KTaInFe2. Source: the Alexandria database, functional PBE.

The structure belongs to space group P4/mmm (No. 123); the cell edges are 4.224, 4.224 and 5.174 Å and the angles 90.00°, 90.00° and 90.00°. The distinct sites, in fractional coordinates, are K at (0.000, 0.000, 0.000), Ta at (0.500, 0.500, 0.500), In at (0.000, 0.000, 0.500) and Fe at (0.000, 0.500, 0.000).

The calculation puts the energy of formation at 2536 meV per atom.



[5]
A relaxed structure of KInFe2Te. Source: the Alexandria database, functional PBE.

The structure belongs to space group P4/mmm (No. 123); the cell edges are 4.892, 4.892 and 6.360 Å and the angles 90.00°, 90.00° and 90.00°. The distinct sites, in fractional coordinates, are K at (0.000, 0.000, 0.000), In at (0.500, 0.500, 0.000), Fe at (0.000, 0.500, 0.500) and Te at (0.500, 0.500, 0.500).

The total energy is -19.92 eV per cell.



[6]
A relaxed structure of KTlInFe2. Source: the Alexandria database, functional PBE.

The structure belongs to space group P4/mmm (No. 123); the cell edges are 5.114, 5.114 and 6.065 Å and the angles 90.00°, 90.00° and 90.00°. The distinct sites, in fractional coordinates, are K at (0.000, 0.000, 0.000), Tl at (0.000, 0.000, 0.500), In at (0.500, 0.500, 0.000) and Fe at (0.000, 0.500, 0.500).

The calculation puts the energy of formation at 1188 meV per atom.